No. 1
Entry from the Alexandria database: crystalline ZrBeCl2 at its relaxed geometry (PBE).

The space group is Immm (No. 71) and the conventional cell measures 3.162, 4.387 and 14.939 Å, with angles of 90.00, 90.00 and 90.00 degrees. The distinct sites, in fractional coordinates, are Zr at (0.000, 0.000, 0.000), Be at (0.000, 0.000, 0.500) and Cl at (0.000, 0.500, 0.362).

For the density of states at the Fermi level, the calculation gives 0.094 states/eV/atom. The calculation puts the excess energy over the best structure of this formula in the dataset at 0.79 eV/f.u. As for the uncorrected formation energy: -605 meV per atom. For the spin magnetization, the calculation gives 0.000 μB/atom.


No. 2
Entry from the Alexandria database: crystalline DyZr2Sc at its relaxed geometry (PBE).

The space group is P4/mmm (No. 123) and the conventional cell measures 4.617, 4.617 and 4.677 Å, with angles of 90.00, 90.00 and 90.00 degrees. The distinct sites, in fractional coordinates, are Dy at (0.000, 0.000, 0.000), Zr at (0.000, 0.500, 0.500) and Sc at (0.500, 0.500, 0.000).

The calculation puts the energy relative to the elements at 0.08 eV/atom. For the density of states at the Fermi level, the calculation gives 1.176 states/eV/atom. The calculation puts the excess energy over the best structure of this formula in the dataset at 0.07 eV/f.u. For the spin magnetization, the calculation gives 0.000 μB/atom.


No. 3
Entry from the Alexandria database: crystalline Cs2NaMn2Cl7 at its relaxed geometry (PBE).

The space group is I4/mmm (No. 139) and the conventional cell measures 5.123, 5.123 and 26.864 Å, with angles of 90.00, 90.00 and 90.00 degrees. The distinct sites, in fractional coordinates, are Cs at (0.000, 0.000, 0.180), Na at (0.000, 0.000, 0.000), Mn at (0.000, 0.000, 0.407), Cl at (0.000, 0.000, 0.314), Cl at (0.000, 0.000, 0.500) and Cl at (0.000, 0.500, 0.088).

As for the uncorrected formation energy: -1476 meV per atom. For the spin magnetization, the calculation gives 0.833 μB/atom.


No. 4
Entry from the Alexandria database: crystalline La6ZnSi2 at its relaxed geometry (PBE).

The space group is Immm (No. 71) and the conventional cell measures 10.066, 10.269 and 10.494 Å, with angles of 90.00, 90.00 and 90.00 degrees. The distinct sites, in fractional coordinates, are La at (0.000, 0.201, 0.249), La at (0.208, 0.500, 0.174), La at (0.235, 0.326, 0.500), Zn at (0.000, 0.000, 0.000), Zn at (0.000, 0.000, 0.500), Si at (0.000, 0.368, 0.000) and Si at (0.000, 0.500, 0.386).

For the density of states at the Fermi level, the calculation gives 1.081 states/eV/atom. As for the uncorrected formation energy: -406 meV per atom. For the spin magnetization, the calculation gives 0.000 μB/atom.


No. 5
Entry from the Alexandria database: crystalline Sc3NO at its relaxed geometry (PBE).

The space group is Pm-3m (No. 221) and the conventional cell measures 4.323, 4.323 and 4.323 Å, with angles of 90.00, 90.00 and 90.00 degrees. The distinct sites, in fractional coordinates, are Sc at (0.000, 0.000, 0.500), N at (0.000, 0.000, 0.000) and O at (0.500, 0.500, 0.500).

For the density of states at the Fermi level, the calculation gives 1.166 states/eV/atom. The calculation puts the excess energy over the best structure of this formula in the dataset at 5.43 eV/f.u. As for the uncorrected formation energy: -774 meV per atom. For the spin magnetization, the calculation gives 0.000 μB/atom.


No. 6
Entry from the Alexandria database: crystalline CsV2CdCl8 at its relaxed geometry (PBE).

The space group is P-1 (No. 2) and the conventional cell measures 6.387, 6.919 and 7.694 Å, with angles of 101.88, 91.92 and 104.79 degrees. The distinct sites, in fractional coordinates, are Cs at (0.000, 0.000, 0.000), V at (0.499, 0.282, 0.501), Cd at (0.000, 0.500, 0.000), Cl at (0.218, 0.415, 0.418), Cl at (0.253, 0.926, 0.428), Cl at (0.407, 0.783, 0.783) and Cl at (0.409, 0.305, 0.782).

For the density of states at the Fermi level, the calculation gives 0.584 states/eV/atom. As for the uncorrected formation energy: -1103 meV per atom. For the spin magnetization, the calculation gives 0.077 μB/atom.


No. 7
Entry from the Alexandria database: crystalline Co2HgOs at its relaxed geometry (PBE).

The space group is R3m (No. 160, hexagonal axes) and the conventional cell measures 2.7475, 2.7475 and 26.6820 Å, with angles of 90.00, 90.00 and 120.00 degrees. The distinct sites, in fractional coordinates, are Co at (0.0000, 0.0000, 0.0000), Co at (0.0000, 0.0000, 0.2632), Hg at (0.0000, 0.0000, 0.5067) and Os at (0.0000, 0.0000, 0.7412).

The calculation puts the energy relative to the elements at 0.50 eV/atom. For the density of states at the Fermi level, the calculation gives 0.917 states/eV/atom. For the spin magnetization, the calculation gives 0.833 μB/atom.